(1)
# LiPr5Ag4, optimized geometry, DFT GGA-PBE
data_LiPr5Ag4
_chemical_formula_sum 'Li1 Pr5 Ag4'
_cell_length_a 3.786
_cell_length_b 3.786
_cell_length_c 19.069
_cell_angle_alpha 90.00
_cell_angle_beta 90.00
_cell_angle_gamma 90.00
_space_group_name_H-M_alt 'P 1'
_space_group_IT_number 1
loop_
_space_group_symop_operation_xyz
'x,y,z'
loop_
_atom_site_label
_atom_site_type_symbol
_atom_site_fract_x
_atom_site_fract_y
_atom_site_fract_z
Li1 Li 0.000 0.000 0.000
Pr1 Pr 0.500 0.500 0.105
Pr2 Pr 0.500 0.500 0.301
Pr3 Pr 0.500 0.500 0.500
Pr4 Pr 0.500 0.500 0.699
Pr5 Pr 0.500 0.500 0.895
Ag1 Ag 0.000 0.000 0.200
Ag2 Ag 0.000 0.000 0.401
Ag3 Ag 0.000 0.000 0.599
Ag4 Ag 0.000 0.000 0.800
# Symmetry: P4/mmm
# Mass density (g/cm³): 6.9
# VASP energy (eV/atom): -3.893
# Formation energy from the elements (meV per atom): -171


(2)
# Li4Pr5Ag4, optimized geometry, DFT GGA-PBE
data_Li4Pr5Ag4
_chemical_formula_sum 'Li4 Pr5 Ag4'
_cell_length_a 9.163
_cell_length_b 9.163
_cell_length_c 9.163
_cell_angle_alpha 92.88
_cell_angle_beta 92.88
_cell_angle_gamma 154.11
_space_group_name_H-M_alt 'P 1'
_space_group_IT_number 1
loop_
_space_group_symop_operation_xyz
'x,y,z'
loop_
_atom_site_label
_atom_site_type_symbol
_atom_site_fract_x
_atom_site_fract_y
_atom_site_fract_z
Li1 Li 0.074 0.406 0.479
Li2 Li 0.406 0.926 0.332
Li3 Li 0.594 0.074 0.668
Li4 Li 0.926 0.594 0.521
Pr1 Pr 0.127 0.791 0.917
Pr2 Pr 0.209 0.127 0.336
Pr3 Pr 0.500 0.500 0.000
Pr4 Pr 0.791 0.873 0.664
Pr5 Pr 0.873 0.209 0.083
Ag1 Ag 0.238 0.563 0.801
Ag2 Ag 0.437 0.238 0.676
Ag3 Ag 0.563 0.762 0.324
Ag4 Ag 0.762 0.437 0.199
# Symmetry: I4/m
# Mass density (g/cm³): 5.9
# VASP energy (eV/atom): -3.443
# Formation energy from the elements (meV per atom): -139


(3)
# Li6PrAg12, optimized geometry, DFT GGA-PBE
data_Li6PrAg12
_chemical_formula_sum 'Li6 Pr1 Ag12'
_cell_length_a 7.409
_cell_length_b 7.409
_cell_length_c 7.409
_cell_angle_alpha 105.69
_cell_angle_beta 105.69
_cell_angle_gamma 105.69
_space_group_name_H-M_alt 'P 1'
_space_group_IT_number 1
loop_
_space_group_symop_operation_xyz
'x,y,z'
loop_
_atom_site_label
_atom_site_type_symbol
_atom_site_fract_x
_atom_site_fract_y
_atom_site_fract_z
Li1 Li 0.274 0.274 0.710
Li2 Li 0.274 0.710 0.274
Li3 Li 0.290 0.726 0.726
Li4 Li 0.710 0.274 0.274
Li5 Li 0.726 0.290 0.726
Li6 Li 0.726 0.726 0.290
Pr1 Pr 0.000 0.000 0.000
Ag1 Ag 0.118 0.500 0.882
Ag2 Ag 0.118 0.882 0.500
Ag3 Ag 0.145 0.396 0.396
Ag4 Ag 0.396 0.145 0.396
Ag5 Ag 0.396 0.396 0.145
Ag6 Ag 0.500 0.118 0.882
Ag7 Ag 0.500 0.882 0.118
Ag8 Ag 0.604 0.604 0.855
Ag9 Ag 0.604 0.855 0.604
Ag10 Ag 0.855 0.604 0.604
Ag11 Ag 0.882 0.118 0.500
Ag12 Ag 0.882 0.500 0.118
# Symmetry: R-3m
# Mass density (g/cm³): 7.0
# VASP energy (eV/atom): -2.712
# Formation energy from the elements (meV per atom): -55


(4)
# Li5Pr4Ag6, optimized geometry, DFT GGA-PBE
data_Li5Pr4Ag6
_chemical_formula_sum 'Li10 Pr8 Ag12'
_cell_length_a 11.489
_cell_length_b 11.489
_cell_length_c 14.759
_cell_angle_alpha 90.00
_cell_angle_beta 90.00
_cell_angle_gamma 158.39
_space_group_name_H-M_alt 'P 1'
_space_group_IT_number 1
loop_
_space_group_symop_operation_xyz
'x,y,z'
loop_
_atom_site_label
_atom_site_type_symbol
_atom_site_fract_x
_atom_site_fract_y
_atom_site_fract_z
Li1 Li 0.033 0.967 0.500
Li2 Li 0.159 0.841 0.812
Li3 Li 0.169 0.831 0.455
Li4 Li 0.199 0.801 0.101
Li5 Li 0.304 0.696 0.459
Li6 Li 0.696 0.304 0.959
Li7 Li 0.801 0.199 0.601
Li8 Li 0.831 0.169 0.955
Li9 Li 0.841 0.159 0.312
Li10 Li 0.967 0.033 0.000
Pr1 Pr 0.320 0.680 0.782
Pr2 Pr 0.375 0.625 0.126
Pr3 Pr 0.445 0.555 0.624
Pr4 Pr 0.457 0.543 0.357
Pr5 Pr 0.543 0.457 0.857
Pr6 Pr 0.555 0.445 0.124
Pr7 Pr 0.625 0.375 0.626
Pr8 Pr 0.680 0.320 0.282
Ag1 Ag 0.039 0.961 0.700
Ag2 Ag 0.074 0.926 0.295
Ag3 Ag 0.105 0.895 0.984
Ag4 Ag 0.228 0.772 0.625
Ag5 Ag 0.276 0.724 0.270
Ag6 Ag 0.414 0.586 0.930
Ag7 Ag 0.586 0.414 0.430
Ag8 Ag 0.724 0.276 0.770
Ag9 Ag 0.772 0.228 0.125
Ag10 Ag 0.895 0.105 0.484
Ag11 Ag 0.926 0.074 0.795
Ag12 Ag 0.961 0.039 0.200
# Symmetry: Cmc2_1
# Mass density (g/cm³): 5.8
# VASP energy (eV/atom): -3.191
# Formation energy from the elements (meV per atom): -138


> The lowest mass density belongs to which entry?

Li5Pr4Ag6